(A)
Sr4Pd2O | PBE-GGA | optimized geometry

Total magnetic moment in μB per formula unit: 0.0
Crystal system: tetragonal

Lattice parameters (Å, degrees): 4.9267 4.9267 16.2796 90.00 90.00 90.00
Closest atoms and distances in Å follow each position.
Space group I4/mmm (No. 139)
Unique sites:
Sr 0.0000 0.0000 0.1755 (multiplicity 4)  1 O 2.86, 1 Pd 3.11
Sr 0.0000 0.5000 0.0000 (multiplicity 4)  2 O 2.46
Pd 0.0000 0.0000 0.3666 (multiplicity 4)  5 Sr 3.11-3.28
O 0.0000 0.0000 0.0000 (multiplicity 2)  4 Sr 2.46

=====

(B)
Sr4Pd2O | PBE-GGA | optimized geometry

Total magnetic moment in μB per formula unit: 0.0
Crystal system: tetragonal

Lattice parameters (Å, degrees): 5.0025 5.0025 25.5346 90.00 90.00 90.00
Closest atoms and distances in Å follow each position.
Space group I4/mmm (No. 139)
Unique sites:
Sr 0.0000 0.0000 0.1941 (multiplicity 4)  1 Pd 2.74
Sr 0.0000 0.5000 0.0000 (multiplicity 4)  2 O 2.50
Pd 0.0000 0.0000 0.0869 (multiplicity 4)  1 O 2.22
O 0.0000 0.0000 0.0000 (multiplicity 2)  2 Pd 2.22

=====

Relative energies, unit eV/atom: (A) 0.000; (B) 0.766

=====

(A)
Sr2PdO4 | PBE-GGA | optimized geometry

Total magnetic moment in μB per formula unit: 0.0
Crystal system: monoclinic

Lattice parameters (Å, degrees): 6.3464 5.8891 6.8942 90.00 110.25 90.00
Closest atoms and distances in Å follow each position.
Space group P2_1/m (No. 11)
Unique sites:
Sr 0.1824 0.2500 0.0323 (multiplicity 2)  6 O 2.43-2.62
Sr 0.2878 0.2500 0.5629 (multiplicity 2)  4 O 2.46-2.62
Pd 0.2522 0.7500 0.7931 (multiplicity 2)  4 O 1.95-1.98
O 0.0060 0.5299 0.7413 (multiplicity 4)  1 Pd 1.96
O 0.4826 0.7500 0.0670 (multiplicity 2)  1 Pd 1.95
O 0.4828 0.7500 0.6604 (multiplicity 2)  1 Pd 1.98

=====

(B)
Sr2PdO4 | PBE-GGA | optimized geometry

Total magnetic moment in μB per formula unit: 0.5
Crystal system: tetragonal

Lattice parameters (Å, degrees): 4.0284 4.0284 12.5506 90.00 90.00 90.00
Closest atoms and distances in Å follow each position.
Space group I4/mmm (No. 139)
Unique sites:
Sr 0.0000 0.0000 0.1424 (multiplicity 4)  5 O 2.43-2.69
Pd 0.0000 0.0000 0.5000 (multiplicity 2)  6 O 2.01-2.05
O 0.0000 0.0000 0.3363 (multiplicity 4)  1 Pd 2.05
O 0.0000 0.5000 0.0000 (multiplicity 4)  2 Pd 2.01

=====

Relative energies, unit eV/atom: (A) 0.246; (B) 0.000

=====

(A)
TaPd3O | PBE-GGA | optimized geometry

Total magnetic moment in μB per formula unit: 0.0
Crystal system: cubic

Lattice parameters (Å, degrees): 4.8195 4.8195 4.8195 90.00 90.00 90.00
Closest atoms and distances in Å follow each position.
Space group Pm-3m (No. 221)
Unique sites:
Ta 0.0000 0.0000 0.0000 (multiplicity 1)  6 Pd 2.41
Pd 0.0000 0.0000 0.5000 (multiplicity 3)  2 Ta 2.41
O 0.5000 0.5000 0.5000 (multiplicity 1)  12 Pd 3.41

=====

(B)
TaPd3O | PBE-GGA | optimized geometry

Total magnetic moment in μB per formula unit: 0.0
Crystal system: cubic

Lattice parameters (Å, degrees): 4.2282 4.2282 4.2282 90.00 90.00 90.00
Closest atoms and distances in Å follow each position.
Space group Pm-3m (No. 221)
Unique sites:
Ta 0.0000 0.0000 0.0000 (multiplicity 1)  12 Pd 2.99
Pd 0.0000 0.5000 0.5000 (multiplicity 3)  2 O 2.11
O 0.5000 0.5000 0.5000 (multiplicity 1)  6 Pd 2.11

=====

Relative energies, unit eV/atom: (A) 1.133; (B) 0.000

=====

(A)
Tb3PdO6 | PBE-GGA | optimized geometry

Total magnetic moment in μB per formula unit: 1.0
Crystal system: trigonal

Lattice parameters (Å, degrees): 9.6379 9.6379 10.9866 90.00 90.00 120.00
Closest atoms and distances in Å follow each position.
Space group R-3 (No. 148, hexagonal axes)
Unique sites:
Tb 0.0438 0.7763 0.2043 (multiplicity 18)  6 O 2.22-2.38
Pd 0.0000 0.0000 0.0000 (multiplicity 3)  6 O 2.06
Pd 0.0000 0.0000 0.5000 (multiplicity 3)  6 O 2.33
O 0.0294 0.8008 0.4045 (multiplicity 18)  3 Tb 2.22-2.30, 1 Pd 2.33
O 0.0286 0.8482 0.8835 (multiplicity 18)  1 Pd 2.06

=====

(B)
Tb3PdO6 | PBE-GGA | optimized geometry

Total magnetic moment in μB per formula unit: 1.0
Crystal system: orthorhombic

Lattice parameters (Å, degrees): 9.0367 11.1176 5.5428 90.00 90.00 90.00
Closest atoms and distances in Å follow each position.
Space group Cmc2_1 (No. 36)
Unique sites:
Tb 0.0000 0.1026 0.0000 (multiplicity 4)  7 O 2.30-2.47
Tb 0.2071 0.3835 0.9470 (multiplicity 8)  6 O 2.25-2.43
Pd 0.0000 0.3633 0.4423 (multiplicity 4)  5 O 2.00-2.18
O 0.0000 0.2788 0.7612 (multiplicity 4)  1 Pd 2.00
O 0.0000 0.4776 0.1387 (multiplicity 4)  2 Pd 2.08-2.11
O 0.1484 0.2454 0.2407 (multiplicity 8)  1 Pd 2.18, 2 Tb 2.25-2.30
O 0.1588 0.0150 0.7214 (multiplicity 8)  4 Tb 2.25-2.32

=====

Relative energies, unit eV/atom: (A) 0.000; (B) 0.036

=====

(A)
Tb2PdO4 | PBE-GGA | optimized geometry

Total magnetic moment in μB per formula unit: 0.0
Crystal system: monoclinic

Lattice parameters (Å, degrees): 11.4671 3.5248 5.8467 90.00 116.69 90.00
Closest atoms and distances in Å follow each position.
Space group C2/m (No. 12)
Unique sites:
Tb 0.2100 0.0000 0.2162 (multiplicity 4)  6 O 2.25-2.39
Pd 0.0000 0.5000 0.5000 (multiplicity 2)  2 O 2.03
O 0.1281 0.5000 0.3470 (multiplicity 4)  1 Pd 2.03
O 0.1600 0.0000 0.7976 (multiplicity 4)  3 Tb 2.25-2.33

=====

(B)
Tb2PdO4 | PBE-GGA | optimized geometry

Total magnetic moment in μB per formula unit: 0.0
Crystal system: orthorhombic

Lattice parameters (Å, degrees): 12.1561 5.6194 5.6155 90.00 90.00 90.00
Closest atoms and distances in Å follow each position.
Space group Cmce (No. 64)
Unique sites:
Tb 0.1589 0.0000 0.0000 (multiplicity 8)  6 O 2.24-2.39
Pd 0.0000 0.0000 0.5000 (multiplicity 4)  4 O 2.07
O 0.0000 0.1769 0.1769 (multiplicity 8)  2 Pd 2.07
O 0.2500 0.2403 0.7500 (multiplicity 8)  4 Tb 2.24-2.31

=====

Relative energies, unit eV/atom: (A) 0.293; (B) 0.000

=====

(A)
TbPdO | PBE-GGA | optimized geometry

Total magnetic moment in μB per formula unit: 0.0
Crystal system: tetragonal

Lattice parameters (Å, degrees): 3.8931 3.8931 7.1667 90.00 90.00 90.00
Closest atoms and distances in Å follow each position.
Space group I4mm (No. 107)
Unique sites:
Tb 0.0000 0.0000 0.0000 (multiplicity 2)  1 O 2.11
Pd 0.0000 0.0000 0.3954 (multiplicity 2)  1 O 2.22
O 0.0000 0.0000 0.7051 (multiplicity 2)  1 Tb 2.11, 1 Pd 2.22

=====

(B)
TbPdO | PBE-GGA | optimized geometry

Total magnetic moment in μB per formula unit: 0.0
Crystal system: triclinic

Lattice parameters (Å, degrees): 4.3633 4.5746 5.8263 67.11 89.93 89.83
Closest atoms and distances in Å follow each position.
Space group P-1 (No. 2)
Unique sites:
Tb 0.2500 0.1296 0.2420 (multiplicity 2)  3 O 2.24-2.27
Pd 0.2500 0.4084 0.6824 (multiplicity 2)  2 O 2.29
O 0.2500 0.9176 0.6641 (multiplicity 2)  3 Tb 2.24-2.27, 2 Pd 2.29

=====

Relative energies, unit eV/atom: (A) 0.647; (B) 0.000